(1)
A plane-wave DFT calculation with PBE-GGA was carried out for an optimized crystal structure of BaPb8Au2.

Cell lengths 6.773, 6.773, 9.024 Å; angles 90.00, 90.00, 90.00 degrees
Element x y z (fractional)
1 Ba 0.000 0.000 0.000
2 Pb 0.254 0.254 0.303
3 Pb 0.254 0.254 0.697
4 Pb 0.254 0.746 0.303
5 Pb 0.254 0.746 0.697
6 Pb 0.746 0.254 0.303
7 Pb 0.746 0.254 0.697
8 Pb 0.746 0.746 0.303
9 Pb 0.746 0.746 0.697
10 Au 0.000 0.500 0.500
11 Au 0.500 0.000 0.500

energy of formation from the pure elements = 0 kJ/mol of atoms
D(E_F) = 0.5496 states/eV/atom



(2)
A plane-wave DFT calculation with PBE-GGA was carried out for an optimized crystal structure of Pr2AsN.

Cell lengths 7.366, 7.366, 7.366 Å; angles 30.50, 30.50, 30.50 degrees
Element x y z (fractional)
1 Pr 0.000 0.000 0.000
2 Pr 0.149 0.149 0.149
3 As 0.577 0.577 0.577
4 N 0.747 0.747 0.747

energy above the most stable polymorph in this dataset = 258 meV/atom
D(E_F) = 0.1365 states/eV/atom
formation energy without anion corrections = -0.978 eV per atom



(3)
A plane-wave DFT calculation with PBE-GGA was carried out for an optimized crystal structure of HfHgPb2Cl.

Cell lengths 5.807, 5.807, 5.886 Å; angles 90.00, 90.00, 90.00 degrees
Element x y z (fractional)
1 Hf 0.000 0.000 0.000
2 Hg 0.000 0.000 0.500
3 Pb 0.000 0.500 0.500
4 Pb 0.500 0.000 0.500
5 Cl 0.500 0.500 0.000

D(E_F) = 1.3784 states/eV/atom
formation energy without anion corrections = 0.817 eV per atom



Computed values of total magnetic moment (unit: μB/f.u.) for the preceding records, in sequence: 0.00, 0.00, 2.10.